1.
Below is a relaxed CsTe2Pb crystal, with properties calculated at the PBE level.

Cell lengths 5.3174, 6.2751, 6.2751 Å; angles 110.65, 90.00, 90.00 degrees
Last column: nearest neighbours and their distance in Å.
Sites, in units of the cell vectors:
1 Cs 0.0000 0.0349 0.9651  8 Te 4.09-4.14, 4 Pb 4.48
2 Te 0.5000 0.0718 0.4728  2 Pb 2.98-3.33, 1 Te 3.25
3 Te 0.5000 0.5272 0.9282  2 Pb 2.98-3.33, 1 Te 3.25
4 Pb 0.5000 0.5812 0.4188  4 Te 2.98-3.33

Calculated values
- density of states at the Fermi level (states/eV/atom) = 0.69
- energy relative to the elements, uncorrected (kJ per mole of atoms) = -40

2.
Below is a relaxed LiPrTmTe3 crystal, with properties calculated at the PBE level.

Cell lengths 4.2835, 8.9492, 9.5411 Å; angles 103.81, 90.00, 90.00 degrees
Last column: nearest neighbours and their distance in Å.
Sites, in units of the cell vectors:
1 Li 0.2500 0.0842 0.5853  4 Te 2.74-2.79, 2 Li 2.89
2 Li 0.7500 0.9158 0.4147  4 Te 2.74-2.79, 2 Li 2.89
3 Pr 0.2500 0.1907 0.2352  7 Te 3.23-3.34
4 Pr 0.7500 0.8093 0.7648  7 Te 3.23-3.34
5 Tm 0.2500 0.6715 0.1613  6 Te 3.02-3.09
6 Tm 0.7500 0.3285 0.8387  6 Te 3.02-3.09
7 Te 0.7500 0.9053 0.1255  1 Li 2.74
8 Te 0.2500 0.0947 0.8745  1 Li 2.74
9 Te 0.2500 0.7637 0.4947  3 Li 2.74-2.79
10 Te 0.7500 0.2363 0.5053  3 Li 2.74-2.79
11 Te 0.7500 0.4355 0.1704  3 Tm 3.02-3.08, 2 Pr 3.23
12 Te 0.2500 0.5645 0.8296  3 Tm 3.02-3.08, 2 Pr 3.23

Calculated values
- density of states at the Fermi level (states/eV/atom) = 0.48
- energy relative to the elements, uncorrected (kJ per mole of atoms) = -122

3.
Below is a relaxed BeNbOs crystal, with properties calculated at the PBE level.

Cell lengths 3.0551, 3.0551, 4.9266 Å; angles 108.06, 108.06, 90.00 degrees
Last column: nearest neighbours and their distance in Å.
Sites, in units of the cell vectors:
1 Be 0.6408 0.6408 0.2816  4 Os 2.39
2 Nb 0.9521 0.9521 0.9042  5 Os 2.70-2.77, 5 Be 2.73-2.76
3 Os 0.2571 0.2571 0.5141  4 Be 2.39

Calculated values
- density of states at the Fermi level (states/eV/atom) = 0.88
- offset from the most stable computed form (eV/atom) = 0.269
- formation enthalpy at 0 K (kcal/mol of atoms) = -3.7

4.
Below is a relaxed LaCdIr crystal, with properties calculated at the PBE level.

Cell lengths 4.1943, 4.1957, 7.9520 Å; angles 90.01, 90.00, 90.00 degrees
Last column: nearest neighbours and their distance in Å.
Sites, in units of the cell vectors:
1 La 0.0230 0.8379 0.6765  5 Ir 3.04-3.11
2 La 0.5230 0.3379 0.3704  5 Ir 3.04-3.11
3 Cd 0.0229 0.3377 0.0234  4 Ir 2.96, 4 Cd 2.97
4 Cd 0.5229 0.8377 0.0234  4 Ir 2.96, 4 Cd 2.97
5 Ir 0.5229 0.3378 0.7612  4 Cd 2.96, 5 La 3.04-3.11
6 Ir 0.0229 0.8378 0.2856  4 Cd 2.96, 5 La 3.04-3.11

Calculated values
- density of states at the Fermi level (states/eV/atom) = 0.48
- formation enthalpy at 0 K (kcal/mol of atoms) = -11.6